# 1
Here is a PBEsol-optimized structure of YNiMo2 from Alexandria via LeMat-Bulk. Energies are from SCAN.

Geometry as POSCAR:
```
YNiMo2
1.0
2.702 0.000 0.000
0.000 5.218 0.000
0.000 -2.609 4.660
Y Ni Mo
1 1 2
Direct
0.500 0.500 0.000 Y
0.500 0.000 0.000 Ni
0.000 0.500 0.500 Mo
0.000 0.000 0.500 Mo
```

Energy of formation from the pure elements: 224 kJ/mol of formula units
N(E_F): 1.02 states/eV per atom
Energy above the most stable polymorph in this dataset: 111.1 meV per atom
Calculated total energy: -27.866 eV per atom

# 2
Here is a PBEsol-optimized structure of Ba3SnH from Alexandria via LeMat-Bulk. Energies are from SCAN.

Geometry as POSCAR:
```
Ba3SnH
1.0
5.453 0.000 0.000
0.000 5.453 0.000
0.000 0.000 5.453
Ba H Sn
3 1 1
Direct
0.500 0.000 0.000 Ba
0.000 0.500 0.000 Ba
0.000 0.000 0.500 Ba
0.000 0.000 0.000 H
0.500 0.500 0.500 Sn
```

N(E_F): 0.65 states/eV per atom
Calculated total energy: -32.093 eV per atom

# 3
Here is a PBEsol-optimized structure of Sr2LiTe from Alexandria via LeMat-Bulk. Energies are from SCAN.

Geometry as POSCAR:
```
Sr2LiTe
1.0
7.476 -0.072 0.000
-2.992 6.851 0.000
-2.242 -3.390 6.275
Sr Li Te
4 2 2
Direct
0.895 0.875 0.520 Sr
0.625 0.105 0.980 Sr
0.355 0.375 0.480 Sr
0.125 0.645 0.020 Sr
0.500 0.500 0.000 Li
0.750 0.250 0.500 Li
0.250 0.750 0.500 Te
0.000 0.000 0.000 Te
```

N(E_F): 0.53 states/eV per atom
Calculated total energy: -21.635 eV per atom
Raw formation energy: -586.9 meV/atom

# 4
Here is a PBEsol-optimized structure of Be2TeIr from Alexandria via LeMat-Bulk. Energies are from SCAN.

Geometry as POSCAR:
```
Be2TeIr
1.0
2.944 0.000 0.000
0.000 3.335 0.000
0.000 0.000 5.926
Be Te Ir
2 1 1
Direct
0.500 0.500 0.270 Be
0.000 0.000 0.044 Be
0.500 0.500 0.783 Te
0.000 0.000 0.402 Ir
```

N(E_F): 0.35 states/eV per atom
Calculated total energy: -29.116 eV per atom
Raw formation energy: 148.1 meV/atom

# 5
Here is a PBEsol-optimized structure of K2InOs from Alexandria via LeMat-Bulk. Energies are from SCAN.

Geometry as POSCAR:
```
K2InOs
1.0
4.478 0.000 0.000
0.000 5.644 0.000
-2.239 -2.822 4.671
K In Os
2 1 1
Direct
0.023 0.023 0.045 K
0.230 0.730 0.460 K
0.807 0.307 0.614 In
0.441 0.441 0.881 Os
```

Energy of formation from the pure elements: 325 kJ/mol of formula units
N(E_F): 0.74 states/eV per atom
Calculated total energy: -29.639 eV per atom

# 6
Here is a PBEsol-optimized structure of K2LaPb from Alexandria via LeMat-Bulk. Energies are from SCAN.

Geometry as POSCAR:
```
K2LaPb
1.0
3.465 0.000 0.000
0.000 3.465 0.000
0.000 0.000 13.014
Pb La K
1 1 2
Direct
0.500 0.500 0.500 Pb
0.500 0.500 0.000 La
0.000 0.000 0.716 K
0.000 0.000 0.284 K
```

Energy of formation from the pure elements: 58 kJ/mol of formula units
N(E_F): 1.16 states/eV per atom
Calculated total energy: -33.736 eV per atom

# 7
Here is a PBEsol-optimized structure of Lu2GeO5 from Alexandria via LeMat-Bulk. Energies are from SCAN.

Geometry as POSCAR:
```
Lu2GeO5
1.0
-1.911 4.950 -3.872
-1.119 -4.360 -5.023
-8.117 -1.970 3.517
Lu O Ge
8 20 4
Direct
0.971 0.355 0.347 Lu
0.529 0.855 0.653 Lu
0.471 0.145 0.347 Lu
0.726 0.120 0.032 Lu
0.274 0.880 0.968 Lu
0.029 0.645 0.653 Lu
0.226 0.380 0.032 Lu
0.774 0.620 0.968 Lu
0.730 0.571 0.720 O
0.770 0.071 0.280 O
0.484 0.821 0.404 O
0.156 0.076 0.367 O
0.410 0.119 0.105 O
0.984 0.679 0.404 O
0.590 0.881 0.895 O
0.656 0.424 0.367 O
0.910 0.381 0.105 O
0.016 0.321 0.596 O
0.516 0.179 0.596 O
0.032 0.147 0.895 O
0.090 0.619 0.895 O
0.532 0.353 0.895 O
0.270 0.429 0.280 O
0.344 0.576 0.633 O
0.844 0.924 0.633 O
0.968 0.853 0.105 O
0.468 0.647 0.105 O
0.230 0.929 0.720 O
0.977 0.895 0.301 Ge
0.023 0.105 0.699 Ge
0.477 0.605 0.301 Ge
0.523 0.395 0.699 Ge
```

N(E_F): 0.00 states/eV per atom
Calculated total energy: -23.379 eV per atom
Raw formation energy: -3262.0 meV/atom

# 8
Here is a PBEsol-optimized structure of ZnAg2I4 from Alexandria via LeMat-Bulk. Energies are from SCAN.

Geometry as POSCAR:
```
ZnAg2I4
1.0
7.160 0.000 0.000
0.000 7.502 0.000
0.000 0.000 8.852
Ag I Zn
4 8 2
Direct
0.127 0.178 0.248 Ag
0.627 0.822 0.252 Ag
0.627 0.822 0.748 Ag
0.127 0.178 0.752 Ag
0.486 0.645 0.000 I
0.515 0.178 0.249 I
0.986 0.355 0.500 I
0.474 0.646 0.500 I
0.515 0.178 0.751 I
0.015 0.822 0.749 I
0.974 0.354 0.000 I
0.015 0.822 0.251 I
0.623 0.327 0.500 Zn
0.123 0.673 0.000 Zn
```

N(E_F): 0.00 states/eV per atom
Calculated total energy: -32.281 eV per atom
Raw formation energy: -392.8 meV/atom

# 9
Here is a PBEsol-optimized structure of Al3IrCl from Alexandria via LeMat-Bulk. Energies are from SCAN.

Geometry as POSCAR:
```
Al3IrCl
1.0
4.444 0.000 0.000
0.000 4.444 0.000
0.000 0.000 4.444
Al Cl Ir
3 1 1
Direct
0.500 0.000 0.000 Al
0.000 0.000 0.500 Al
0.000 0.500 0.000 Al
0.000 0.000 0.000 Cl
0.500 0.500 0.500 Ir
```

N(E_F): 0.60 states/eV per atom
Calculated total energy: -19.497 eV per atom
Raw formation energy: 969.6 meV/atom

# 10
Here is a PBEsol-optimized structure of KNiAs2 from Alexandria via LeMat-Bulk. Energies are from SCAN.

Geometry as POSCAR:
```
KNiAs2
1.0
-0.642 1.682 3.796
1.693 -3.401 1.793
3.281 2.671 -2.954
K As Ni
1 2 1
Direct
0.500 0.500 0.000 K
0.750 0.250 0.500 As
0.000 0.000 0.000 As
0.250 0.750 0.500 Ni
```

Energy of formation from the pure elements: 216 kJ/mol of formula units
N(E_F): 0.55 states/eV per atom
Energy above the most stable polymorph in this dataset: 964.6 meV per atom
Calculated total energy: -15.661 eV per atom

# 11
Here is a PBEsol-optimized structure of NiIrPt2 from Alexandria via LeMat-Bulk. Energies are from SCAN.

Geometry as POSCAR:
```
NiIrPt2
1.0
-0.086 -1.349 2.349
2.263 -1.085 1.022
2.318 6.534 5.399
Pt Ir Ni
2 1 1
Direct
0.994 0.994 0.017 Pt
0.752 0.752 0.745 Pt
0.506 0.506 0.482 Ir
0.248 0.248 0.256 Ni
```

Energy of formation from the pure elements: -11 kJ/mol of formula units
N(E_F): 0.84 states/eV per atom
Energy above the most stable polymorph in this dataset: 63.5 meV per atom
Calculated total energy: -56.944 eV per atom

# 12
Here is a PBEsol-optimized structure of TiGeBi2Os from Alexandria via LeMat-Bulk. Energies are from SCAN.

Geometry as POSCAR:
```
TiGeBi2Os
1.0
-0.985 -1.403 -4.255
-4.399 -2.267 1.766
-2.643 4.460 -0.859
Bi Ge Ti Os
2 1 1 1
Direct
0.000 0.000 0.500 Bi
0.000 0.500 0.000 Bi
0.500 0.500 0.500 Ge
0.000 0.000 0.000 Ti
0.500 0.000 0.000 Os
```

Energy of formation from the pure elements: 548 kJ/mol of formula units
N(E_F): 0.92 states/eV per atom
Calculated total energy: -51.696 eV per atom

- What is the N(E_F) in the fifth record?
  0.74 states/eV per atom

- The highest calculated total energy belongs to which entry?
  KNiAs2